# P2Rh, optimized geometry, DFT GGA-PBE
data_P2Rh
_chemical_formula_sum 'P8 Rh4'
_cell_length_a 20.053
_cell_length_b 20.053
_cell_length_c 20.053
_cell_angle_alpha 171.52
_cell_angle_beta 171.52
_cell_angle_gamma 12.00
_space_group_name_H-M_alt 'P 1'
_space_group_IT_number 1
_space_group_name_Hall 'P 1'
loop_
_atom_site_label
_atom_site_fract_x
_atom_site_fract_y
_atom_site_fract_z
Rh1 0.318 0.818 0.500
Rh2 0.068 0.068 0.000
Rh3 0.932 0.932 0.000
Rh4 0.182 0.682 0.500
P1 0.651 0.151 0.500
P2 0.599 0.599 0.000
P3 0.514 0.014 0.500
P4 0.986 0.486 0.500
P5 0.849 0.349 0.500
P6 0.264 0.264 0.000
P7 0.401 0.401 0.000
P8 0.736 0.736 0.000
# Space-group type: I4_1/amd (141)
# Formation enthalpy at 0 K in eV per atom: -0.06
# VASP energy in eV for the cell shown: -73.45

# SrLiHg4, optimized geometry, DFT GGA-PBE
data_SrLiHg4
_chemical_formula_sum 'Sr1 Li1 Hg4'
_cell_length_a 6.079
_cell_length_b 6.079
_cell_length_c 6.079
_cell_angle_alpha 60.00
_cell_angle_beta 60.00
_cell_angle_gamma 60.00
_space_group_name_H-M_alt 'P 1'
_space_group_IT_number 1
_space_group_name_Hall 'P 1'
loop_
_atom_site_label
_atom_site_fract_x
_atom_site_fract_y
_atom_site_fract_z
Hg1 0.873 0.376 0.376
Hg2 0.376 0.376 0.873
Hg3 0.376 0.873 0.376
Hg4 0.376 0.376 0.376
Sr1 0.000 0.000 0.000
Li1 0.750 0.750 0.750
# Relative energy among the computed polymorphs in kJ per mole of atoms: 10.5
# Space-group type: F-43m (216)
# Formation enthalpy at 0 K in eV per atom: -0.24
# VASP energy in eV for the cell shown: -6.24

# TcAgAu4, optimized geometry, DFT GGA-PBE
data_TcAgAu4
_chemical_formula_sum 'Tc1 Ag1 Au4'
_cell_length_a 5.465
_cell_length_b 5.465
_cell_length_c 5.465
_cell_angle_alpha 60.00
_cell_angle_beta 60.00
_cell_angle_gamma 60.00
_space_group_name_H-M_alt 'P 1'
_space_group_IT_number 1
_space_group_name_Hall 'P 1'
loop_
_atom_site_label
_atom_site_fract_x
_atom_site_fract_y
_atom_site_fract_z
Au1 0.625 0.625 0.625
Au2 0.625 0.625 0.125
Au3 0.625 0.125 0.625
Au4 0.125 0.625 0.625
Tc1 0.250 0.250 0.250
Ag1 0.000 0.000 0.000
# Space-group type: F-43m (216)
# Formation enthalpy at 0 K in eV per atom: 0.46
# VASP energy in eV for the cell shown: -23.55

# Li7Hg4Ge, optimized geometry, DFT GGA-PBE
data_Li7Hg4Ge
_chemical_formula_sum 'Li7 Hg4 Ge1'
_cell_length_a 5.012
_cell_length_b 7.837
_cell_length_c 7.101
_cell_angle_alpha 64.60
_cell_angle_beta 69.33
_cell_angle_gamma 71.35
_space_group_name_H-M_alt 'P 1'
_space_group_IT_number 1
_space_group_name_Hall 'P 1'
loop_
_atom_site_label
_atom_site_fract_x
_atom_site_fract_y
_atom_site_fract_z
Li1 0.816 0.875 0.493
Li2 0.776 0.253 0.196
Li3 0.071 0.602 0.257
Li4 0.224 0.747 0.804
Li5 0.184 0.125 0.507
Li6 0.929 0.398 0.743
Li7 0.500 0.000 0.000
Hg1 0.312 0.352 0.024
Hg2 0.688 0.648 0.976
Hg3 0.429 0.724 0.417
Hg4 0.571 0.276 0.583
Ge1 0.000 0.000 0.000
# Space-group type: C2/m (12)
# Formation enthalpy at 0 K in eV per atom: -0.23
# VASP energy in eV for the cell shown: -22.00

# TcOsRh2, optimized geometry, DFT GGA-PBE
data_TcOsRh2
_chemical_formula_sum 'Tc1 Os1 Rh2'
_cell_length_a 4.676
_cell_length_b 4.676
_cell_length_c 4.676
_cell_angle_alpha 130.97
_cell_angle_beta 130.97
_cell_angle_gamma 71.86
_space_group_name_H-M_alt 'P 1'
_space_group_IT_number 1
_space_group_name_Hall 'P 1'
loop_
_atom_site_label
_atom_site_fract_x
_atom_site_fract_y
_atom_site_fract_z
Tc1 0.500 0.500 0.000
Rh1 0.000 0.000 0.000
Rh2 0.250 0.750 0.500
Os1 0.750 0.250 0.500
# Relative energy among the computed polymorphs in kJ per mole of atoms: 6.8
# Space-group type: I-4m2 (119)
# Formation enthalpy at 0 K in eV per atom: 0.01
# VASP energy in eV for the cell shown: -36.26

# NdEr6Mg2, optimized geometry, DFT GGA-PBE
data_NdEr6Mg2
_chemical_formula_sum 'Nd1 Er6 Mg2'
_cell_length_a 7.143
_cell_length_b 7.143
_cell_length_c 7.582
_cell_angle_alpha 61.90
_cell_angle_beta 61.90
_cell_angle_gamma 60.00
_space_group_name_H-M_alt 'P 1'
_space_group_IT_number 1
_space_group_name_Hall 'P 1'
loop_
_atom_site_label
_atom_site_fract_x
_atom_site_fract_y
_atom_site_fract_z
Er1 0.265 0.775 0.695
Er2 0.050 0.051 0.294
Er3 0.606 0.050 0.294
Er4 0.051 0.606 0.294
Er5 0.266 0.265 0.695
Er6 0.775 0.266 0.695
Nd1 0.321 0.321 0.036
Mg1 0.755 0.755 0.734
Mg2 0.578 0.578 0.266
# Space-group type: R3m (160)
# Formation enthalpy at 0 K in eV per atom: 0.45
# VASP energy in eV for the cell shown: -31.31